The following is a GGA-PBE calculation of crystalline Ca3ReO at its relaxed geometry, from the Alexandria database.

Summary:
formation energy without anion corrections: -237 kJ/mol of formula units
space group: Pm-3m, No. 221
energy above the most stable polymorph in this dataset: 0.000 eV per atom

Structure (CIF):
```
data_Ca3ReO
_symmetry_space_group_name_H-M 'P 1'
_symmetry_Int_Tables_number 1
_cell_length_a 4.726
_cell_length_b 4.726
_cell_length_c 4.726
_cell_angle_alpha 90.00
_cell_angle_beta 90.00
_cell_angle_gamma 90.00
loop_
_symmetry_equiv_pos_as_xyz
'x,y,z'
loop_
_atom_site_label
_atom_site_type_symbol
_atom_site_fract_x
_atom_site_fract_y
_atom_site_fract_z
Ca1 Ca 0.000 0.000 0.500
Ca2 Ca 0.000 0.500 0.000
Ca3 Ca 0.500 0.000 0.000
Re1 Re 0.500 0.500 0.500
O1 O 0.000 0.000 0.000
```